# 1
This record from the Alexandria database describes a geometry-optimized Pm3Ni3Ge structure. The functional is PBE.

As for the distance to the lowest polymorph of the same formula: 0.283 eV per atom. The calculation puts the density at 6.74 g cm⁻³. The formation energy is -0.19 eV per atom.

It has space group P6_3/m (No. 176), with a = 8.3612 Å, b = 8.3612 Å, c = 5.5625 Å, α = 90.00°, β = 90.00° and γ = 120.00°. The inequivalent atoms are Pm at (0.0542, 0.6943, 0.2500), Ni at (0.0626, 0.6859, 0.7500) and Ge at (0.3333, 0.6667, 0.7500).

***

# 2
This record from the Alexandria database describes a geometry-optimized Pm12NiGe6 structure. The functional is PBE.

The calculation puts the density at 6.31 g cm⁻³. The formation energy is -0.48 eV per atom.

It has space group R-3 (No. 148, hexagonal axes), with a = 12.9877 Å, b = 12.9877 Å, c = 12.0700 Å, α = 90.00°, β = 90.00° and γ = 120.00°. The inequivalent atoms are Pm at (0.0320, 0.8264, 0.3930), Pm at (0.0481, 0.8451, 0.8855), Ni at (0.0000, 0.0000, 0.0000) and Ge at (0.0461, 0.7757, 0.6496).

***

# 3
This record from the Alexandria database describes a geometry-optimized PmNi2Ge2 structure. The functional is PBE.

The calculation puts the density at 8.05 g cm⁻³. The formation energy is -0.70 eV per atom.

It has space group C2/m (No. 12), with a = 10.679 Å, b = 4.132 Å, c = 4.132 Å, α = 90.00°, β = 112.68° and γ = 90.00°. The inequivalent atoms are Pm at (0.000, 0.000, 0.000), Ni at (0.250, 0.000, 0.751) and Ge at (0.131, 0.500, 0.631).

***

# 4
This record from the Alexandria database describes a geometry-optimized PmNi2Ge4 structure. The functional is PBE.

As for the distance to the lowest polymorph of the same formula: 0.099 eV per atom. The calculation puts the density at 7.58 g cm⁻³. The formation energy is -0.34 eV per atom.

It has space group P4_2/mnm (No. 136), with a = 7.843 Å, b = 7.843 Å, c = 3.941 Å, α = 90.00°, β = 90.00° and γ = 90.00°. The inequivalent atoms are Pm at (0.000, 0.000, 0.000), Ni at (0.217, 0.217, 0.500) and Ge at (0.078, 0.689, 0.500).